DFT (PBE) results for a relaxed HoTmTlN crystal.

Results
E_tot   -5.9593 eV/atom
Total magnetic moment   0.000 μB/atom
V   165 Å³ per cell

The structure in CIF format:
```
data_HoTmTlN
_chemical_formula_sum 'Ho2 Tm2 Tl2 N2'
_space_group_name_H-M_alt 'P -6 m 2'
_space_group_IT_number 187
_space_group_name_Hall 'P -6 2'
_cell_length_a 3.4929
_cell_length_b 3.4929
_cell_length_c 15.5823
_cell_angle_alpha 90.00
_cell_angle_beta 90.00
_cell_angle_gamma 120.00
loop_
_atom_site_label
_atom_site_type_symbol
_atom_site_fract_x
_atom_site_fract_y
_atom_site_fract_z
Ho1 Ho 0.0000 0.0000 0.1664
Tm1 Tm 0.6667 0.3333 0.3342
Tl1 Tl 0.0000 0.0000 0.5000
Tl2 Tl 0.6667 0.3333 0.0000
N1 N 0.3333 0.6667 0.2526
```

DFT (PBE) results for a relaxed Ho3CuTe5 crystal.

Results
E_tot   -4.3805 eV/atom
Total magnetic moment   0.000 μB/atom
E above lowest polymorph   0.156 eV/atom
V   238 Å³ per cell

The structure in CIF format:
```
data_Ho3CuTe5
_chemical_formula_sum 'Ho3 Cu1 Te5'
_space_group_name_H-M_alt 'P -6 2 m'
_space_group_IT_number 189
_space_group_name_Hall 'P -6 -2'
_cell_length_a 8.5568
_cell_length_b 8.5568
_cell_length_c 3.7579
_cell_angle_alpha 90.00
_cell_angle_beta 90.00
_cell_angle_gamma 120.00
loop_
_atom_site_label
_atom_site_type_symbol
_atom_site_fract_x
_atom_site_fract_y
_atom_site_fract_z
Ho1 Ho 0.0000 0.6392 0.0000
Cu1 Cu 0.0000 0.0000 0.0000
Te1 Te 0.0000 0.2429 0.5000
Te2 Te 0.3333 0.6667 0.5000
```

DFT (PBE) results for a relaxed SmPuCu crystal.

Results
E_tot   -7.2896 eV/atom
Total magnetic moment   2.207 μB/atom
E above lowest polymorph   0.000 eV/atom
Formation energy from the elements   0.2286 eV per atom
V   307 Å³ per cell

The structure in CIF format:
```
data_SmPuCu
_chemical_formula_sum 'Sm4 Pu4 Cu4'
_space_group_name_H-M_alt 'F -4 3 m'
_space_group_IT_number 216
_space_group_name_Hall 'F -4 2 3'
_cell_length_a 6.748
_cell_length_b 6.748
_cell_length_c 6.748
_cell_angle_alpha 90.00
_cell_angle_beta 90.00
_cell_angle_gamma 90.00
loop_
_atom_site_label
_atom_site_type_symbol
_atom_site_fract_x
_atom_site_fract_y
_atom_site_fract_z
Sm1 Sm 0.000 0.000 0.000
Pu1 Pu 0.000 0.000 0.500
Cu1 Cu 0.250 0.250 0.250
```

DFT (PBE) results for a relaxed ZnSe8Cl2 crystal.

Results
E_tot   -2.9627 eV/atom
E above lowest polymorph   0.000 eV/atom
V   395 Å³ per cell

The structure in CIF format:
```
data_ZnSe8Cl2
_chemical_formula_sum 'Zn1 Se8 Cl2'
_space_group_name_H-M_alt 'P -1'
_space_group_IT_number 2
_space_group_name_Hall '-P 1'
_cell_length_a 6.591
_cell_length_b 7.885
_cell_length_c 8.910
_cell_angle_alpha 63.78
_cell_angle_beta 78.53
_cell_angle_gamma 72.55
loop_
_atom_site_label
_atom_site_type_symbol
_atom_site_fract_x
_atom_site_fract_y
_atom_site_fract_z
Zn1 Zn 0.000 0.000 0.000
Se1 Se 0.015 0.764 0.280
Se2 Se 0.027 0.286 0.133
Se3 Se 0.158 0.942 0.678
Se4 Se 0.455 0.571 0.368
Cl1 Cl 0.258 0.355 0.270
```

DFT (PBE) results for a relaxed SmInPO crystal.

Results
E_tot   -5.8839 eV/atom
Total magnetic moment   0.004 μB/atom
E above lowest polymorph   0.000 eV/atom
V   160 Å³ per cell

The structure in CIF format:
```
data_SmInPO
_chemical_formula_sum 'Sm2 In2 P2 O2'
_space_group_name_H-M_alt 'P 4/n m m'
_space_group_IT_number 129
_cell_length_a 4.398
_cell_length_b 4.398
_cell_length_c 8.277
_cell_angle_alpha 90.00
_cell_angle_beta 90.00
_cell_angle_gamma 90.00
loop_
_space_group_symop_operation_xyz
'x,y,z'
'-x,-y,-z'
'-y+1/2,x,z'
'y+1/2,-x,-z'
'-x+1/2,-y+1/2,z'
'x+1/2,y+1/2,-z'
'y,-x+1/2,z'
'-y,x+1/2,-z'
'x+1/2,-y,-z'
'-x+1/2,y,z'
'-y,-x,-z'
'y,x,z'
'-x,y+1/2,-z'
'x,-y+1/2,z'
'y+1/2,x+1/2,-z'
'-y+1/2,-x+1/2,z'
loop_
_atom_site_label
_atom_site_type_symbol
_atom_site_fract_x
_atom_site_fract_y
_atom_site_fract_z
Sm1 Sm 0.250 0.250 0.107
In1 In 0.250 0.750 0.500
P1 P 0.250 0.250 0.688
O1 O 0.250 0.750 0.000
```

DFT (PBE) results for a relaxed La2Er2Pd crystal.

Results
E_tot   -5.0739 eV/atom
Total magnetic moment   0.003 μB/atom
Formation energy from the elements   -0.2445 eV per atom
V   322 Å³ per cell

The structure in CIF format:
```
data_La2Er2Pd
_chemical_formula_sum 'La4 Er4 Pd2'
_space_group_name_H-M_alt 'I 4/m m m'
_space_group_IT_number 139
_space_group_name_Hall '-I 4 2'
_cell_length_a 5.506
_cell_length_b 5.506
_cell_length_c 10.635
_cell_angle_alpha 90.00
_cell_angle_beta 90.00
_cell_angle_gamma 90.00
loop_
_atom_site_label
_atom_site_type_symbol
_atom_site_fract_x
_atom_site_fract_y
_atom_site_fract_z
La1 La 0.000 0.000 0.227
Er1 Er 0.000 0.500 0.000
Pd1 Pd 0.000 0.000 0.500
```

V of number 2 (Ho3CuTe5)?
238 Å³ per cell

Among the records above, which one has the lowest E_tot?
SmPuCu

What is the E_tot in the fifth record?
-5.8839 eV/atom

What is the formula in the first record?
HoTmTlN